Entry 1:
An optimized crystal structure of NpPS4Br. Source: Alexandria via LeMat-Bulk, functional PBE-GGA.

a = 6.9780 Å, b = 6.9780 Å, c = 7.7967 Å
α = 101.10°, β = 101.10°, γ = 75.76°
With the nearest neighbours (Å) after each atom.
Fractional coordinates of all 14 atoms:
1 Np 0.2198 0.2198 0.1289  6 S 2.70-2.85, 2 Br 2.91-2.94
2 Np 0.7802 0.7802 0.8711  6 S 2.70-2.85, 2 Br 2.91-2.94
3 P 0.3605 0.3605 0.7271  4 S 2.02-2.11
4 P 0.6395 0.6395 0.2729  4 S 2.02-2.11
5 S 0.1502 0.5064 0.8982  1 P 2.11
6 S 0.2273 0.2273 0.4967  1 P 2.02
7 S 0.4628 0.4628 0.3073  1 P 2.03
8 S 0.4936 0.8498 0.1018  1 P 2.11
9 S 0.5064 0.1502 0.8982  1 P 2.11
10 S 0.5372 0.5372 0.6927  1 P 2.03
11 S 0.7727 0.7727 0.5033  1 P 2.02
12 S 0.8498 0.4936 0.1018  1 P 2.11
13 Br 0.0257 0.0257 0.7942  2 Np 2.91-2.94, 1 S 3.14
14 Br 0.9743 0.9743 0.2058  2 Np 2.91-2.94, 1 S 3.14

Results
The energy relative to the elements, uncorrected is -58.1 kJ/mol of atoms. The total DFT energy (no corrections) comes out at -5.821 eV per atom.

Entry 2:
An optimized crystal structure of Sr2RhCl. Source: Alexandria via LeMat-Bulk, functional PBE-GGA.

a = 3.6654 Å, b = 3.5983 Å, c = 7.9607 Å
α = 90.00°, β = 91.64°, γ = 90.00°
With the nearest neighbours (Å) after each atom.
Fractional coordinates of all 4 atoms:
1 Sr 0.0148 0.0000 0.2233  4 Rh 3.12, 4 Cl 3.32-3.45
2 Sr 0.9852 0.0000 0.7767  4 Rh 3.12, 4 Cl 3.32-3.45
3 Rh 0.5000 0.5000 0.0000  8 Sr 3.12
4 Cl 0.5000 0.5000 0.5000  8 Sr 3.32-3.45, 4 Cl 3.60-3.67

Results
The energy relative to the elements, uncorrected is -94.8 kJ/mol of atoms. The total DFT energy (no corrections) comes out at -4.123 eV per atom.

Entry 3:
An optimized crystal structure of PaVZn. Source: Alexandria via LeMat-Bulk, functional PBE-GGA.

a = 7.7676 Å, b = 7.7676 Å, c = 7.7676 Å
α = 159.49°, β = 159.49°, γ = 29.16°
With the nearest neighbours (Å) after each atom.
Fractional coordinates of all 3 atoms:
1 Pa 0.0000 0.0000 0.0000  1 V 2.46
2 V 0.8362 0.8362 0.0000  1 Pa 2.46, 1 Zn 2.55
3 Zn 0.6667 0.6667 0.0000  1 V 2.55, 4 Zn 2.77

Results
The calculation puts the energy relative to the elements at 685.2 meV per atom. The total DFT energy (no corrections) comes out at -5.944 eV per atom.

Results for calculated volume: 178, 105, 57 (in Å³/f.u., following the order of the records).